CaCrTc2 | GGA-PBE | optimized geometry

extended XYZ file:
```
4
Lattice="-1.5257 2.3978 4.6000 1.5257 -2.3978 4.6000 1.5257 2.3978 -4.6000" Properties=species:S:1:pos:R:3 pbc="T T T"
Ca 0.0000 0.0000 0.0000
Cr 1.5257 0.0000 2.5748
Tc 0.0000 0.0000 4.5825
Tc 0.0000 2.3978 2.0615
```

Values from the calculation:
The space-group type is No. 44. Its density of states at the Fermi level is 4.1 states/eV per cell. The value obtained for the energy above the lowest structure with this stoichiometry is 35.1 kJ/mol of atoms. The formation energy from the elements is 0.5866 eV/atom. As for the total energy: -7.50 eV per atom.

=====

TcTe3Cl | GGA-PBE | optimized geometry

extended XYZ file:
```
5
Lattice="5.2321 0.0000 0.0000 0.0000 5.2321 0.0000 0.0000 0.0000 5.2321" Properties=species:S:1:pos:R:3 pbc="T T T"
Tc 0.0000 0.0000 0.0000
Te 0.0000 0.0000 2.6161
Te 0.0000 2.6161 0.0000
Te 2.6161 0.0000 0.0000
Cl 2.6161 2.6161 2.6161
```

Values from the calculation:
The space-group type is No. 221. Its density of states at the Fermi level is 6.0 states/eV per cell. The value obtained for the energy above the lowest structure with this stoichiometry is 0.0 kJ/mol of atoms. As for the total energy: -3.98 eV per atom.

=====

ReAg2As | GGA-PBE | optimized geometry

extended XYZ file:
```
4
Lattice="-1.5300 2.3802 4.8413 1.5300 -2.3802 4.8413 1.5300 2.3802 -4.8413" Properties=species:S:1:pos:R:3 pbc="T T T"
Re 0.0000 0.0000 0.0000
Ag 1.5300 0.0000 2.5783
Ag 0.0000 0.0000 5.2542
As 0.0000 2.3802 2.9681
```

Values from the calculation:
The space-group type is No. 44. Its density of states at the Fermi level is 2.1 states/eV per cell. The formation energy from the elements is 0.6097 eV/atom. As for the total energy: -5.09 eV per atom.

=====

Pm5TiSn6 | GGA-PBE | optimized geometry

extended XYZ file:
```
12
Lattice="3.1683 -7.4583 0.0000 3.1683 7.4583 0.0000 -2.4425 0.0000 7.2420" Properties=species:S:1:pos:R:3 pbc="T T T"
Pm 0.0000 0.0000 0.0000
Pm 3.1683 2.8901 0.0000
Pm 1.9471 2.2015 3.6210
Pm 1.9471 -2.2015 3.6210
Pm 3.1683 -2.8901 0.0000
Ti -1.2212 0.0000 3.6210
Sn 2.3127 5.1173 2.0835
Sn 1.5814 5.1173 5.1584
Sn 0.9400 0.0000 5.6757
Sn 2.9541 0.0000 1.5663
Sn 2.3127 -5.1173 2.0835
Sn 1.5814 -5.1173 5.1584
```

Values from the calculation:
The space-group type is No. 12. Its density of states at the Fermi level is 9.8 states/eV per cell. The formation energy from the elements is -0.5681 eV/atom. As for the total energy: -5.21 eV per atom.

=====

MnAg2Se | GGA-PBE | optimized geometry

extended XYZ file:
```
4
Lattice="3.6008 -1.7122 0.0000 3.6008 1.7122 0.0000 -1.4196 0.0000 6.5196" Properties=species:S:1:pos:R:3 pbc="T T T"
Mn 0.0000 0.0000 0.0000
Ag 2.8724 0.0000 3.3203
Ag 5.0181 0.0000 1.6162
Se 0.8341 0.0000 5.2369
```

Values from the calculation:
The space-group type is No. 8. Its density of states at the Fermi level is 1.9 states/eV per cell. As for the total energy: -4.45 eV per atom.

=====

Sm3PaTl3S8 | GGA-PBE | optimized geometry

extended XYZ file:
```
15
Lattice="4.1053 2.3702 7.5723 -4.1053 2.3702 7.5723 0.0000 -4.7404 7.5723" Properties=species:S:1:pos:R:3 pbc="T T T"
Sm -2.0527 -1.1851 7.5723
Sm -2.0527 1.1851 15.1446
Sm 0.0000 2.3702 7.5723
Pa 0.0000 0.0000 0.0000
Tl -4.1053 0.0000 11.3584
Tl -2.0527 1.1851 3.7861
Tl 2.0527 1.1851 3.7862
S 0.0000 -2.4440 9.0510
S -2.1166 1.2220 9.0510
S -2.1166 -1.2220 13.6659
S 0.0000 0.0000 6.0570
S 0.0000 0.0000 16.6599
S 2.1166 1.2220 9.0510
S 2.1166 -1.2220 13.6659
S 0.0000 2.4440 13.6659
```

Values from the calculation:
The space-group type is No. 166. Its density of states at the Fermi level is 5.7 states/eV per cell. As for the total energy: -5.74 eV per atom.

=====

Mg3Pa3ReN8 | GGA-PBE | optimized geometry

extended XYZ file:
```
15
Lattice="3.3508 1.9346 5.2188 -3.3508 1.9346 5.2188 0.0000 -3.8692 5.2188" Properties=species:S:1:pos:R:3 pbc="T T T"
Mg -1.6754 -0.9673 5.2188
Mg -1.6754 0.9673 10.4376
Mg 0.0000 1.9346 5.2188
Pa -3.3508 0.0000 7.8282
Pa -1.6754 0.9673 2.6094
Pa 1.6754 0.9673 2.6094
Re 0.0000 0.0000 7.8282
N 0.0000 0.0000 3.9560
N -1.5698 -0.9063 8.9971
N 0.0000 -1.8127 6.6594
N -1.5698 0.9063 6.6594
N 1.5698 -0.9063 8.9971
N 0.0000 1.8126 8.9971
N 1.5698 0.9063 6.6594
N 0.0000 0.0000 11.7004
```

Values from the calculation:
The space-group type is No. 166. Its density of states at the Fermi level is 6.5 states/eV per cell. As for the total energy: -8.45 eV per atom.

=====

Ti2Ga4Au | GGA-PBE | optimized geometry

extended XYZ file:
```
7
Lattice="-3.2053 3.2053 3.0601 3.2053 -3.2053 3.0601 3.2053 3.2053 -3.0601" Properties=species:S:1:pos:R:3 pbc="T T T"
Ti 3.2053 0.0000 0.0000
Ti 0.0000 3.2053 0.0000
Ga 1.6026 1.6026 -1.5301
Ga 1.6026 -1.6026 1.5301
Ga -1.6026 1.6026 1.5301
Ga 1.6026 1.6026 1.5301
Au 0.0000 0.0000 0.0000
```

Values from the calculation:
The space-group type is No. 139. Its density of states at the Fermi level is 5.0 states/eV per cell. The value obtained for the energy above the lowest structure with this stoichiometry is 0.0 kJ/mol of atoms. The formation energy from the elements is -0.2451 eV/atom. As for the total energy: -4.70 eV per atom.

=====

MgFe3Ag | GGA-PBE | optimized geometry

extended XYZ file:
```
5
Lattice="4.7282 0.0000 0.0000 0.0000 4.7282 0.0000 0.0000 0.0000 4.7282" Properties=species:S:1:pos:R:3 pbc="T T T"
Mg 0.0000 0.0000 0.0000
Fe 0.0000 2.3641 2.3641
Fe 2.3641 0.0000 2.3641
Fe 2.3641 2.3641 0.0000
Ag 2.3641 2.3641 2.3641
```

Values from the calculation:
The space-group type is No. 221. Its density of states at the Fermi level is 9.9 states/eV per cell. The value obtained for the energy above the lowest structure with this stoichiometry is 0.0 kJ/mol of atoms. The formation energy from the elements is 1.3702 eV/atom. As for the total energy: -4.60 eV per atom.

=====

RbPt | GGA-PBE | optimized geometry

extended XYZ file:
```
12
Lattice="5.6730 0.0000 0.0000 0.0000 9.9853 0.0000 0.0000 0.0000 5.9114" Properties=species:S:1:pos:R:3 pbc="T T T"
Rb 1.4182 0.8472 0.0273
Rb 1.4182 4.1455 0.0273
Rb 1.4182 7.4890 1.5672
Rb 4.2547 2.4963 4.3441
Rb 4.2547 5.8398 5.8840
Rb 4.2547 9.1381 5.8840
Pt 0.0000 0.0000 2.9557
Pt 0.0000 4.9926 2.9557
Pt 1.4182 2.4963 2.8976
Pt 2.8365 0.0000 2.9557
Pt 2.8365 4.9926 2.9557
Pt 4.2547 7.4890 3.0137
```

Values from the calculation:
The space-group type is No. 59. Its density of states at the Fermi level is 2.5 states/eV per cell. The formation energy from the elements is 0.1448 eV/atom. As for the total energy: -3.36 eV per atom.

=====

Rb2ZrMnS4 | GGA-PBE | optimized geometry

extended XYZ file:
```
16
Lattice="0.0000 7.0171 12.2073 3.0317 0.0000 12.2073 3.0317 7.0171 0.0000" Properties=species:S:1:pos:R:3 pbc="T T T"
Rb 2.2738 5.2628 1.3091
Rb 3.7896 8.7714 7.4128
Rb 2.2738 5.2628 17.0018
Rb 3.7896 8.7714 23.1055
Zr 0.7579 1.7543 3.0518
Zr 5.3055 12.2800 21.3628
Mn 2.2738 5.2628 9.1555
Mn 3.7896 8.7714 15.2591
S 2.2820 3.1177 4.3424
S 3.7814 6.6263 10.4461
S 2.2655 7.4080 4.3424
S 2.2655 3.1177 13.9686
S 3.7979 10.9166 10.4461
S 3.7979 6.6263 20.0722
S 2.2820 7.4080 13.9686
S 3.7814 10.9166 20.0722
```

Values from the calculation:
The space-group type is No. 70. As for the total energy: -5.73 eV per atom.

=====

TbNd4Ho2 | GGA-PBE | optimized geometry

extended XYZ file:
```
14
Lattice="0.0000 12.1614 3.2408 6.0103 0.0000 3.2408 6.0103 12.1614 0.0000" Properties=species:S:1:pos:R:3 pbc="T T T"
Tb 0.0000 0.0000 0.0000
Tb 3.0051 6.0807 1.6204
Nd 3.8192 2.5842 1.8521
Nd 6.8243 3.4965 3.4725
Nd 5.3941 10.4477 3.2775
Nd 2.1911 9.5771 1.8521
Nd 6.6265 13.8750 3.2775
Nd 9.6316 16.5284 4.8979
Nd 8.3992 19.9557 4.8979
Nd 5.1962 20.8262 3.4725
Ho 8.7181 11.3299 2.0038
Ho 5.7130 6.9121 3.6242
Ho 3.3024 12.9928 2.0038
Ho 6.3076 17.4106 3.6242
```

Values from the calculation:
The space-group type is No. 43. Its density of states at the Fermi level is 21.1 states/eV per cell. The value obtained for the energy above the lowest structure with this stoichiometry is 0.0 kJ/mol of atoms. The formation energy from the elements is 0.0596 eV/atom. As for the total energy: -4.63 eV per atom.

=====

CsNaSn | GGA-PBE | optimized geometry

extended XYZ file:
```
6
Lattice="4.6726 0.0000 0.0000 0.0076 7.5462 0.0000 0.0007 2.1379 7.7862" Properties=species:S:1:pos:R:3 pbc="T T T"
Cs 0.0000 0.0000 0.0000
Cs 2.3310 1.6362 4.1621
Na 2.3347 5.3183 3.2962
Na 4.6691 3.8600 0.8728
Sn 2.3378 4.9875 6.6100
Sn 4.6749 6.3386 5.3394
```

Values from the calculation:
The space-group type is No. 1. Its density of states at the Fermi level is 2.0 states/eV per cell. The value obtained for the energy above the lowest structure with this stoichiometry is 7.7 kJ/mol of atoms. The formation energy from the elements is -0.1062 eV/atom. As for the total energy: -2.16 eV per atom.

=====

Ac3Nd4Sm | GGA-PBE | optimized geometry

extended XYZ file:
```
16
Lattice="10.8034 0.0000 0.0000 0.0000 7.5437 0.0000 0.0000 0.0000 7.5405" Properties=species:S:1:pos:R:3 pbc="T T T"
Ac 0.0000 0.0045 0.0000
Ac 2.7040 1.9364 1.8856
Ac 2.6977 5.6073 5.6558
Ac 5.4017 7.5392 3.7702
Ac 8.0994 1.9364 1.8856
Ac 8.1057 5.6073 5.6558
Nd 0.0000 0.0038 3.7710
Nd 0.0000 3.7713 0.0002
Nd 2.7052 1.8919 5.6557
Nd 2.6965 5.6518 1.8854
Nd 5.4017 3.7724 3.7704
Nd 5.4017 7.5399 0.0007
Nd 8.0982 1.8919 5.6557
Nd 8.1069 5.6518 1.8854
Sm 0.0000 3.7707 3.7705
Sm 5.4017 3.7730 0.0003
```

Values from the calculation:
The space-group type is No. 31. Its density of states at the Fermi level is 26.3 states/eV per cell. The value obtained for the energy above the lowest structure with this stoichiometry is 0.0 kJ/mol of atoms. The formation energy from the elements is 0.0293 eV/atom. As for the total energy: -4.49 eV per atom.

=====

MnRh2W | GGA-PBE | optimized geometry

extended XYZ file:
```
4
Lattice="4.5038 -1.3652 0.0000 4.5038 1.3652 0.0000 -0.8029 0.0000 4.6378" Properties=species:S:1:pos:R:3 pbc="T T T"
Mn 0.0000 0.0000 0.0000
Rh 1.6621 0.0000 3.4932
Rh 6.5427 0.0000 1.1446
W 4.1024 0.0000 2.3189
```

Values from the calculation:
The space-group type is No. 12. Its density of states at the Fermi level is 5.2 states/eV per cell. The value obtained for the energy above the lowest structure with this stoichiometry is 13.7 kJ/mol of atoms. The formation energy from the elements is -0.0256 eV/atom. As for the total energy: -9.23 eV per atom.

=====

KMnZn2 | GGA-PBE | optimized geometry

extended XYZ file:
```
4
Lattice="2.8908 0.0000 0.0000 0.0000 4.0630 0.0000 0.0000 0.0000 7.7085" Properties=species:S:1:pos:R:3 pbc="T T T"
K 0.0000 0.0000 0.0000
Mn 1.4454 2.0315 2.7222
Zn 0.0000 0.0000 3.6078
Zn 1.4454 2.0315 5.2950
```

Values from the calculation:
The space-group type is No. 25. Its density of states at the Fermi level is 3.0 states/eV per cell. The value obtained for the energy above the lowest structure with this stoichiometry is 12.3 kJ/mol of atoms. The formation energy from the elements is 0.4032 eV/atom. As for the total energy: -2.80 eV per atom.

=====

CaPm2Tl9 | GGA-PBE | optimized geometry

extended XYZ file:
```
12
Lattice="4.8255 0.0000 0.0000 0.0000 4.8255 0.0000 0.0000 0.0000 14.5126" Properties=species:S:1:pos:R:3 pbc="T T T"
Ca 0.0000 0.0000 0.0000
Pm 0.0000 0.0000 4.8929
Pm 0.0000 0.0000 9.6197
Tl 0.0000 2.4128 2.4368
Tl 0.0000 2.4128 7.2563
Tl 0.0000 2.4128 12.0757
Tl 2.4128 0.0000 2.4368
Tl 2.4128 0.0000 7.2563
Tl 2.4128 0.0000 12.0757
Tl 2.4128 2.4128 0.0000
Tl 2.4128 2.4128 4.8273
Tl 2.4128 2.4128 9.6853
```

Values from the calculation:
The space-group type is No. 123. Its density of states at the Fermi level is 5.8 states/eV per cell. The formation energy from the elements is -0.2811 eV/atom. As for the total energy: -3.01 eV per atom.

=====

LiGeAs2 | GGA-PBE | optimized geometry

extended XYZ file:
```
4
Lattice="1.8053 1.0423 8.1027 -1.8053 1.0423 8.1027 0.0000 -2.0845 8.1027" Properties=species:S:1:pos:R:3 pbc="T T T"
Li 0.0000 0.0000 0.0000
Ge 0.0000 0.0000 12.1541
As 0.0000 0.0000 2.4895
As 0.0000 0.0000 21.8187
```

Values from the calculation:
The space-group type is No. 166. Its density of states at the Fermi level is 2.4 states/eV per cell. The formation energy from the elements is 0.0846 eV/atom. As for the total energy: -3.87 eV per atom.

=====

Ba4Br3O2 | GGA-PBE | optimized geometry

extended XYZ file:
```
9
Lattice="7.9471 -2.1955 0.0000 7.9471 2.1955 0.0000 -7.6287 0.0000 9.2324" Properties=species:S:1:pos:R:3 pbc="T T T"
Ba -0.9199 0.0000 3.4140
Ba -1.7880 0.0000 7.7703
Ba 10.0533 0.0000 1.4620
Ba 9.1853 0.0000 5.8184
Br 0.0000 0.0000 0.0000
Br 4.6685 0.0000 1.9074
Br 3.5968 0.0000 7.3250
O -0.2279 0.0000 5.8863
O 8.4933 0.0000 3.3461
```

Values from the calculation:
The space-group type is No. 12. Its density of states at the Fermi level is 1.7 states/eV per cell. The value obtained for the energy above the lowest structure with this stoichiometry is 0.0 kJ/mol of atoms. As for the total energy: -4.74 eV per atom.

=====

Co3Mo | GGA-PBE | optimized geometry

extended XYZ file:
```
4
Lattice="2.5740 -3.5718 0.0000 2.5740 3.5718 0.0000 0.0000 0.0000 2.6023" Properties=species:S:1:pos:R:3 pbc="T T T"
Co 0.0000 0.0000 0.0000
Co 1.2870 1.7859 1.3012
Co 1.2870 -1.7859 1.3012
Mo 2.5740 0.0000 0.0000
```

Values from the calculation:
The space-group type is No. 65. Its density of states at the Fermi level is 4.3 states/eV per cell. The formation energy from the elements is 0.1346 eV/atom. As for the total energy: -7.90 eV per atom.